1.
Computed, not measured: Pr7GaCl12 after structural relaxation at the GGA-PBE level of DFT.

It has space group R-3 (No. 148, hexagonal axes), with a = 15.0345 Å, b = 15.0345 Å, c = 9.7782 Å, α = 90.00°, β = 90.00° and γ = 120.00°. The distinct sites, in fractional coordinates, are Pr at (0.0000, 0.0000, 0.0000), Pr at (0.0433, 0.8708, 0.3318), Ga at (0.0000, 0.0000, 0.5000), Cl at (0.0303, 0.4465, 0.1641) and Cl at (0.0449, 0.8672, 0.8430).

As for the uncorrected formation energy: -1.90 eV/atom. The crystal system is trigonal.

=====

2.
Computed, not measured: InMo after structural relaxation at the GGA-PBE level of DFT.

It has space group Cmmm (No. 65), with a = 3.456 Å, b = 4.632 Å, c = 4.604 Å, α = 90.00°, β = 90.00° and γ = 90.00°. The distinct sites, in fractional coordinates, are In at (0.000, 0.000, 0.000) and Mo at (0.000, 0.500, 0.500).

The crystal system is orthorhombic. The energy above the lowest structure with this stoichiometry is 243 meV/atom. The value obtained for the energy of formation from the pure elements is 88 kJ/mol of formula units.